No. 1
# TaInPCl2 | the Alexandria database | GGA-PBE | optimized geometry
# DFT total energy: -19.25 eV for the cell shown
# Spin magnetization: 2.765 μB/cell
# E_form (uncorrected): 888 meV/atom
data_TaInPCl2
_cell_length_a 4.8624
_cell_length_b 4.8624
_cell_length_c 5.5624
_cell_angle_alpha 90.00
_cell_angle_beta 90.00
_cell_angle_gamma 90.00
_space_group_name_H-M_alt 'P 4/m m m'
_space_group_IT_number 123
_space_group_name_Hall '-P 4 2'
loop_
_atom_site_label
_atom_site_type_symbol
_atom_site_fract_x
_atom_site_fract_y
_atom_site_fract_z
Ta1 Ta 0.0000 0.0000 0.0000
In1 In 0.5000 0.5000 0.5000
P1 P 0.5000 0.5000 0.0000
Cl1 Cl 0.0000 0.5000 0.5000

***

No. 2
# TaInPCl2 | the Alexandria database | GGA-PBE | optimized geometry
# DFT total energy: -25.44 eV for the cell shown
# Spin magnetization: 0.153 μB/cell
# E_form (uncorrected): -350 meV/atom
data_TaInPCl2
_cell_length_a 4.9575
_cell_length_b 4.9575
_cell_length_c 4.9078
_cell_angle_alpha 90.00
_cell_angle_beta 90.00
_cell_angle_gamma 90.00
_space_group_name_H-M_alt 'P 4/m m m'
_space_group_IT_number 123
_space_group_name_Hall '-P 4 2'
loop_
_atom_site_label
_atom_site_type_symbol
_atom_site_fract_x
_atom_site_fract_y
_atom_site_fract_z
Ta1 Ta 0.0000 0.0000 0.0000
In1 In 0.5000 0.5000 0.5000
P1 P 0.0000 0.0000 0.5000
Cl1 Cl 0.0000 0.5000 0.0000

***

No. 3
# InTeP2Cl | the Alexandria database | GGA-PBE | optimized geometry
# DFT total energy: -15.47 eV for the cell shown
# Spin magnetization: 0.157 μB/cell
# E_form (uncorrected): 615 meV/atom
data_InTeP2Cl
_cell_length_a 5.2134
_cell_length_b 5.2134
_cell_length_c 5.9454
_cell_angle_alpha 90.00
_cell_angle_beta 90.00
_cell_angle_gamma 90.00
_space_group_name_H-M_alt 'P 4/m m m'
_space_group_IT_number 123
_space_group_name_Hall '-P 4 2'
loop_
_atom_site_label
_atom_site_type_symbol
_atom_site_fract_x
_atom_site_fract_y
_atom_site_fract_z
In1 In 0.0000 0.0000 0.0000
Te1 Te 0.5000 0.5000 0.5000
P1 P 0.0000 0.5000 0.5000
Cl1 Cl 0.5000 0.5000 0.0000

***

No. 4
# InTeP2Cl | the Alexandria database | GGA-PBE | optimized geometry
# DFT total energy: -15.38 eV for the cell shown
# Spin magnetization: 0.003 μB/cell
# E_form (uncorrected): 633 meV/atom
data_InTeP2Cl
_cell_length_a 5.2144
_cell_length_b 5.2144
_cell_length_c 4.9192
_cell_angle_alpha 90.00
_cell_angle_beta 90.00
_cell_angle_gamma 90.00
_space_group_name_H-M_alt 'P 4/m m m'
_space_group_IT_number 123
_space_group_name_Hall '-P 4 2'
loop_
_atom_site_label
_atom_site_type_symbol
_atom_site_fract_x
_atom_site_fract_y
_atom_site_fract_z
In1 In 0.0000 0.0000 0.0000
Te1 Te 0.5000 0.5000 0.5000
P1 P 0.0000 0.5000 0.0000
Cl1 Cl 0.0000 0.0000 0.5000

***

No. 5
# TiInP2Cl | the Alexandria database | GGA-PBE | optimized geometry
# DFT total energy: -19.19 eV for the cell shown
# Spin magnetization: 0.210 μB/cell
# E_form (uncorrected): 822 meV/atom
data_TiInP2Cl
_cell_length_a 5.1176
_cell_length_b 5.1176
_cell_length_c 5.1100
_cell_angle_alpha 90.00
_cell_angle_beta 90.00
_cell_angle_gamma 90.00
_space_group_name_H-M_alt 'P 4/m m m'
_space_group_IT_number 123
_space_group_name_Hall '-P 4 2'
loop_
_atom_site_label
_atom_site_type_symbol
_atom_site_fract_x
_atom_site_fract_y
_atom_site_fract_z
Ti1 Ti 0.0000 0.0000 0.0000
In1 In 0.5000 0.5000 0.5000
P1 P 0.0000 0.5000 0.5000
Cl1 Cl 0.5000 0.5000 0.0000

***

No. 6
# TiInPCl2 | the Alexandria database | GGA-PBE | optimized geometry
# DFT total energy: -18.52 eV for the cell shown
# Spin magnetization: 1.814 μB/cell
# E_form (uncorrected): 243 meV/atom
data_TiInPCl2
_cell_length_a 4.9546
_cell_length_b 4.9546
_cell_length_c 5.3842
_cell_angle_alpha 90.00
_cell_angle_beta 90.00
_cell_angle_gamma 90.00
_space_group_name_H-M_alt 'P 4/m m m'
_space_group_IT_number 123
_space_group_name_Hall '-P 4 2'
loop_
_atom_site_label
_atom_site_type_symbol
_atom_site_fract_x
_atom_site_fract_y
_atom_site_fract_z
Ti1 Ti 0.0000 0.0000 0.0000
In1 In 0.5000 0.5000 0.5000
P1 P 0.5000 0.5000 0.0000
Cl1 Cl 0.0000 0.5000 0.5000

***

No. 7
# TiInPCl2 | the Alexandria database | GGA-PBE | optimized geometry
# DFT total energy: -23.04 eV for the cell shown
# Spin magnetization: 0.221 μB/cell
# E_form (uncorrected): -660 meV/atom
data_TiInPCl2
_cell_length_a 4.8532
_cell_length_b 4.8532
_cell_length_c 4.9360
_cell_angle_alpha 90.00
_cell_angle_beta 90.00
_cell_angle_gamma 90.00
_space_group_name_H-M_alt 'P 4/m m m'
_space_group_IT_number 123
_space_group_name_Hall '-P 4 2'
loop_
_atom_site_label
_atom_site_type_symbol
_atom_site_fract_x
_atom_site_fract_y
_atom_site_fract_z
Ti1 Ti 0.0000 0.0000 0.0000
In1 In 0.5000 0.5000 0.5000
P1 P 0.0000 0.0000 0.5000
Cl1 Cl 0.0000 0.5000 0.0000

***

No. 8
# TiInP2Cl | the Alexandria database | GGA-PBE | optimized geometry
# DFT total energy: -24.57 eV for the cell shown
# Spin magnetization: 0.000 μB/cell
# E_form (uncorrected): -254 meV/atom
data_TiInP2Cl
_cell_length_a 4.7439
_cell_length_b 4.7439
_cell_length_c 5.0554
_cell_angle_alpha 90.00
_cell_angle_beta 90.00
_cell_angle_gamma 90.00
_space_group_name_H-M_alt 'P 4/m m m'
_space_group_IT_number 123
_space_group_name_Hall '-P 4 2'
loop_
_atom_site_label
_atom_site_type_symbol
_atom_site_fract_x
_atom_site_fract_y
_atom_site_fract_z
Ti1 Ti 0.0000 0.0000 0.0000
In1 In 0.5000 0.5000 0.5000
P1 P 0.0000 0.5000 0.0000
Cl1 Cl 0.0000 0.0000 0.5000

***

No. 9
# TlInP2Cl | the Alexandria database | GGA-PBE | optimized geometry
# DFT total energy: -14.50 eV for the cell shown
# Spin magnetization: 2.137 μB/cell
# E_form (uncorrected): 655 meV/atom
data_TlInP2Cl
_cell_length_a 5.3490
_cell_length_b 5.3490
_cell_length_c 5.8544
_cell_angle_alpha 90.00
_cell_angle_beta 90.00
_cell_angle_gamma 90.00
_space_group_name_H-M_alt 'P 4/m m m'
_space_group_IT_number 123
_space_group_name_Hall '-P 4 2'
loop_
_atom_site_label
_atom_site_type_symbol
_atom_site_fract_x
_atom_site_fract_y
_atom_site_fract_z
Tl1 Tl 0.0000 0.0000 0.0000
In1 In 0.5000 0.5000 0.5000
P1 P 0.0000 0.5000 0.0000
Cl1 Cl 0.0000 0.0000 0.5000

***

No. 10
# TlInP2Cl | the Alexandria database | GGA-PBE | optimized geometry
# DFT total energy: -15.97 eV for the cell shown
# Spin magnetization: 1.207 μB/cell
# E_form (uncorrected): 361 meV/atom
data_TlInP2Cl
_cell_length_a 5.1117
_cell_length_b 5.1117
_cell_length_c 5.5682
_cell_angle_alpha 90.00
_cell_angle_beta 90.00
_cell_angle_gamma 90.00
_space_group_name_H-M_alt 'P 4/m m m'
_space_group_IT_number 123
_space_group_name_Hall '-P 4 2'
loop_
_atom_site_label
_atom_site_type_symbol
_atom_site_fract_x
_atom_site_fract_y
_atom_site_fract_z
Tl1 Tl 0.0000 0.0000 0.0000
In1 In 0.5000 0.5000 0.5000
P1 P 0.0000 0.5000 0.5000
Cl1 Cl 0.5000 0.5000 0.0000

***

No. 11
# VInP2Cl | the Alexandria database | GGA-PBE | optimized geometry
# DFT total energy: -24.88 eV for the cell shown
# Spin magnetization: 0.000 μB/cell
# E_form (uncorrected): -71 meV/atom
data_VInP2Cl
_cell_length_a 4.5989
_cell_length_b 4.5989
_cell_length_c 5.2905
_cell_angle_alpha 90.00
_cell_angle_beta 90.00
_cell_angle_gamma 90.00
_space_group_name_H-M_alt 'P 4/m m m'
_space_group_IT_number 123
_space_group_name_Hall '-P 4 2'
loop_
_atom_site_label
_atom_site_type_symbol
_atom_site_fract_x
_atom_site_fract_y
_atom_site_fract_z
V1 V 0.0000 0.0000 0.0000
In1 In 0.5000 0.5000 0.5000
P1 P 0.0000 0.5000 0.0000
Cl1 Cl 0.0000 0.0000 0.5000

***

No. 12
# VInPCl2 | the Alexandria database | GGA-PBE | optimized geometry
# DFT total energy: -18.81 eV for the cell shown
# Spin magnetization: 2.847 μB/cell
# E_form (uncorrected): 430 meV/atom
data_VInPCl2
_cell_length_a 5.2466
_cell_length_b 5.2466
_cell_length_c 5.1117
_cell_angle_alpha 90.00
_cell_angle_beta 90.00
_cell_angle_gamma 90.00
_space_group_name_H-M_alt 'P 4/m m m'
_space_group_IT_number 123
_space_group_name_Hall '-P 4 2'
loop_
_atom_site_label
_atom_site_type_symbol
_atom_site_fract_x
_atom_site_fract_y
_atom_site_fract_z
V1 V 0.0000 0.0000 0.0000
In1 In 0.5000 0.5000 0.5000
P1 P 0.5000 0.5000 0.0000
Cl1 Cl 0.0000 0.5000 0.5000

***

Repeat the eleventh record exactly.
# VInP2Cl | the Alexandria database | GGA-PBE | optimized geometry
# DFT total energy: -24.88 eV for the cell shown
# Spin magnetization: 0.000 μB/cell
# E_form (uncorrected): -71 meV/atom
data_VInP2Cl
_cell_length_a 4.5989
_cell_length_b 4.5989
_cell_length_c 5.2905
_cell_angle_alpha 90.00
_cell_angle_beta 90.00
_cell_angle_gamma 90.00
_space_group_name_H-M_alt 'P 4/m m m'
_space_group_IT_number 123
_space_group_name_Hall '-P 4 2'
loop_
_atom_site_label
_atom_site_type_symbol
_atom_site_fract_x
_atom_site_fract_y
_atom_site_fract_z
V1 V 0.0000 0.0000 0.0000
In1 In 0.5000 0.5000 0.5000
P1 P 0.0000 0.5000 0.0000
Cl1 Cl 0.0000 0.0000 0.5000